VASP calculation (PBE) on crystalline CdInOs at its relaxed geometry.

Cell lengths 6.407, 6.407, 6.407 Å; angles 90.00, 90.00, 90.00 degrees
Space group F-43m (No. 216)
Asymmetric unit:
Cd: 0.000 0.000 0.000 x4
In: 0.000 0.000 0.500 x4
Os: 0.250 0.250 0.750 x4

Values from the calculation:
**Energy above the lowest structure with this stoichiometry**: 0.30 eV per formula unit
**V**: 21.92 Å³ per atom
**Energy of formation**: 678 meV per atom